No. 1
! GGA-PBEsol NbGa3Cu, optimized geometry; values from VASP
! - space group = Pm-3m
! - size of the total moment (μB/f.u.) = 0.00
! - electronic total energy (eV/cell) = -20.4
! - energy relative to the elements (eV/atom) = 0.96
&SYSTEM
  ibrav = 0, nat = 5, ntyp = 3
/
ATOMIC_SPECIES
Nb 92.91 Nb.upf
Ga 69.72 Ga.upf
Cu 63.55 Cu.upf
ATOMIC_POSITIONS crystal
Nb 0.000 0.000 0.000
Ga 0.000 0.000 0.500
Ga 0.000 0.500 0.000
Ga 0.500 0.000 0.000
Cu 0.500 0.500 0.500
CELL_PARAMETERS angstrom
4.930 0.000 0.000
0.000 4.930 0.000
0.000 0.000 4.930

No. 2
! GGA-PBEsol NbGaCu2Te, optimized geometry; values from VASP
! - space group = P4/mmm
! - size of the total moment (μB/f.u.) = 0.00
! - electronic total energy (eV/cell) = -23.2
! - energy relative to the elements, uncorrected (eV/atom) = 0.629
&SYSTEM
  ibrav = 0, nat = 5, ntyp = 4
/
ATOMIC_SPECIES
Nb 92.91 Nb.upf
Ga 69.72 Ga.upf
Cu 63.55 Cu.upf
Te 127.60 Te.upf
ATOMIC_POSITIONS crystal
Nb 0.000 0.000 0.000
Ga 0.000 0.000 0.500
Cu 0.000 0.500 0.500
Cu 0.500 0.000 0.500
Te 0.500 0.500 0.000
CELL_PARAMETERS angstrom
4.373 0.000 0.000
0.000 4.373 0.000
0.000 0.000 4.938

No. 3
! GGA-PBEsol NbGaCuW2, optimized geometry; values from VASP
! - space group = P4/mmm
! - size of the total moment (μB/f.u.) = 0.00
! - electronic total energy (eV/cell) = -36.8
! - energy relative to the elements (eV/atom) = 1.86
&SYSTEM
  ibrav = 0, nat = 5, ntyp = 4
/
ATOMIC_SPECIES
Nb 92.91 Nb.upf
Ga 69.72 Ga.upf
Cu 63.55 Cu.upf
W 183.84 W.upf
ATOMIC_POSITIONS crystal
Nb 0.000 0.000 0.000
Ga 0.000 0.000 0.500
Cu 0.500 0.500 0.000
W 0.000 0.500 0.500
W 0.500 0.000 0.500
CELL_PARAMETERS angstrom
4.525 0.000 0.000
0.000 4.525 0.000
0.000 0.000 4.626

No. 4
! GGA-PBEsol Nd2Ga3Cu, optimized geometry; values from VASP
! - space group = P3m1
! - size of the total moment (μB/f.u.) = 0.00
! - electronic total energy (eV/cell) = -28.3
! - energy relative to the elements (eV/atom) = -0.60
&SYSTEM
  ibrav = 0, nat = 6, ntyp = 3
/
ATOMIC_SPECIES
Nd 144.24 Nd.upf
Ga 69.72 Ga.upf
Cu 63.55 Cu.upf
ATOMIC_POSITIONS crystal
Nd 0.000 0.000 0.000
Nd 0.000 0.000 0.471
Ga 0.333 0.667 0.771
Ga 0.667 0.333 0.248
Ga 0.667 0.333 0.697
Cu 0.333 0.667 0.212
CELL_PARAMETERS angstrom
4.370 0.000 0.000
-2.185 3.785 0.000
0.000 0.000 7.538

No. 5
! GGA-PBEsol NdGa2Cu2, optimized geometry; values from VASP
! - space group = I4/mmm
! - size of the total moment (μB/f.u.) = 0.00
! - electronic total energy (eV/cell) = -22.7
! - energy relative to the elements (eV/atom) = -0.43
&SYSTEM
  ibrav = 0, nat = 5, ntyp = 3
/
ATOMIC_SPECIES
Nd 144.24 Nd.upf
Ga 69.72 Ga.upf
Cu 63.55 Cu.upf
ATOMIC_POSITIONS crystal
Nd 0.000 0.000 0.000
Ga 0.250 0.750 0.500
Ga 0.750 0.250 0.500
Cu 0.383 0.383 0.000
Cu 0.617 0.617 0.000
CELL_PARAMETERS angstrom
-2.055 2.055 5.097
2.055 -2.055 5.097
2.055 2.055 -5.097

No. 6
! GGA-PBEsol Nd2Ga5Cu3, optimized geometry; values from VASP
! - space group = P-4m2
! - size of the total moment (μB/f.u.) = 0.00
! - electronic total energy (eV/cell) = -45.1
! - energy relative to the elements (eV/atom) = -0.51
&SYSTEM
  ibrav = 0, nat = 10, ntyp = 3
/
ATOMIC_SPECIES
Nd 144.24 Nd.upf
Ga 69.72 Ga.upf
Cu 63.55 Cu.upf
ATOMIC_POSITIONS crystal
Nd 0.000 0.500 0.243
Nd 0.500 0.000 0.757
Ga 0.000 0.000 0.500
Ga 0.000 0.500 0.637
Ga 0.000 0.500 0.881
Ga 0.500 0.000 0.119
Ga 0.500 0.000 0.363
Cu 0.000 0.000 0.000
Cu 0.500 0.500 0.000
Cu 0.500 0.500 0.500
CELL_PARAMETERS angstrom
4.168 0.000 0.000
0.000 4.168 0.000
0.000 0.000 10.096